First-principles (meta-GGA SCAN) data for a crystal of TbY2Ni6B6C3 relaxed with PBEsol, as listed in Alexandria.

Cell lengths 3.5056, 3.5056, 30.8510 Å; angles 90.00, 90.00, 90.00 degrees
With the nearest neighbours (Å) after each atom.
Space group I4/mmm (No. 139)
Symmetry-distinct sites (fractional):
Tb  0.0000  0.0000  0.0000 (multiplicity 2)  4 C 2.48
Y  0.0000  0.0000  0.3334 (multiplicity 4)  4 C 2.48
Ni  0.0000  0.5000  0.0833 (multiplicity 8)  4 B 2.06
Ni  0.0000  0.5000  0.2500 (multiplicity 4)  4 B 2.06
B  0.0000  0.0000  0.1181 (multiplicity 4)  1 C 1.49
B  0.0000  0.0000  0.2150 (multiplicity 4)  1 C 1.49
B  0.0000  0.0000  0.4516 (multiplicity 4)  1 C 1.49
C  0.0000  0.0000  0.1666 (multiplicity 4)  2 B 1.49
C  0.0000  0.0000  0.5000 (multiplicity 2)  2 B 1.49

Calculated values
**Energy of formation**: -0.58 eV per atom



First-principles (meta-GGA SCAN) data for a crystal of La2TcSb relaxed with PBEsol, as listed in Alexandria.

Cell lengths 3.9243, 4.1758, 6.2521 Å; angles 90.00, 98.79, 90.00 degrees
With the nearest neighbours (Å) after each atom.
Space group P2/m (No. 10)
Symmetry-distinct sites (fractional):
La  0.1075  0.0000  0.2675 (multiplicity 2)  2 Tc 2.86, 1 La 3.15
Tc  0.5000  0.5000  0.5000 (multiplicity 1)  4 La 2.86, 2 Sb 3.13
Sb  0.5000  0.5000  0.0000 (multiplicity 1)  2 Tc 3.13, 8 La 3.21-3.41

Calculated values
**Formation energy (no corrections)**: -0.2866 eV per atom



First-principles (meta-GGA SCAN) data for a crystal of MnBeRh2 relaxed with PBEsol, as listed in Alexandria.

Cell lengths 2.6707, 2.6707, 6.2847 Å; angles 90.00, 90.00, 90.00 degrees
With the nearest neighbours (Å) after each atom.
Space group P4mm (No. 99)
Symmetry-distinct sites (fractional):
Mn  0.0000  0.0000  0.0000 (multiplicity 1)  4 Be 2.33, 4 Rh 2.49
Be  0.5000  0.5000  0.7827 (multiplicity 1)  4 Rh 2.30, 4 Mn 2.33
Rh  0.0000  0.0000  0.5728 (multiplicity 1)  4 Be 2.30
Rh  0.5000  0.5000  0.2589 (multiplicity 1)  4 Mn 2.49, 8 Rh 2.67-2.73

Calculated values
**Energy of formation**: -0.22 eV per atom



First-principles (meta-GGA SCAN) data for a crystal of NaGa2Sn2 relaxed with PBEsol, as listed in Alexandria.

Cell lengths 4.8173, 4.8173, 11.0994 Å; angles 90.00, 90.00, 90.00 degrees
With the nearest neighbours (Å) after each atom.
Space group I4/mmm (No. 139)
Symmetry-distinct sites (fractional):
Na  0.0000  0.0000  0.0000 (multiplicity 2)  8 Ga 3.67, 8 Sn 3.69
Ga  0.0000  0.5000  0.2500 (multiplicity 4)  4 Sn 2.77
Sn  0.0000  0.0000  0.3725 (multiplicity 4)  4 Ga 2.77, 1 Sn 2.83

Calculated values
**Energy of formation**: -0.10 eV per atom



First-principles (meta-GGA SCAN) data for a crystal of ZrCrP2S relaxed with PBEsol, as listed in Alexandria.

Cell lengths 4.3566, 4.3566, 4.5189 Å; angles 90.00, 90.00, 90.00 degrees
With the nearest neighbours (Å) after each atom.
Space group P4/mmm (No. 123)
Symmetry-distinct sites (fractional):
Zr  0.0000  0.0000  0.0000 (multiplicity 1)  4 S 3.08, 8 P 3.14
Cr  0.5000  0.5000  0.5000 (multiplicity 1)  4 P 2.18, 2 S 2.26
P  0.0000  0.5000  0.5000 (multiplicity 2)  2 Cr 2.18
S  0.5000  0.5000  0.0000 (multiplicity 1)  2 Cr 2.26

Calculated values
**Formation energy (no corrections)**: -0.0383 eV per atom



First-principles (meta-GGA SCAN) data for a crystal of FeSbS2 relaxed with PBEsol, as listed in Alexandria.

Cell lengths 6.0282, 6.0282, 8.5821 Å; angles 90.00, 90.00, 90.00 degrees
With the nearest neighbours (Å) after each atom.
Space group I-42d (No. 122)
Symmetry-distinct sites (fractional):
Fe  0.0000  0.0000  0.0000 (multiplicity 4)  4 S 2.09
Sb  0.0000  0.0000  0.5000 (multiplicity 4)  4 S 2.76
S  0.1602  0.2500  0.1250 (multiplicity 8)  2 Fe 2.09

Calculated values
**Formation energy (no corrections)**: 0.0815 eV per atom



First-principles (meta-GGA SCAN) data for a crystal of K2TlSiN relaxed with PBEsol, as listed in Alexandria.

Cell lengths 6.6100, 6.6100, 4.0634 Å; angles 90.00, 90.00, 90.00 degrees
With the nearest neighbours (Å) after each atom.
Space group P4/mmm (No. 123)
Symmetry-distinct sites (fractional):
K  0.0000  0.5000  0.0000 (multiplicity 2)  2 Tl 3.30
Tl  0.0000  0.0000  0.0000 (multiplicity 1)  2 N 2.03
Si  0.5000  0.5000  0.5000 (multiplicity 1)  8 K 3.88, 2 Si 4.06
N  0.0000  0.0000  0.5000 (multiplicity 1)  2 Tl 2.03

Calculated values
**Formation energy (no corrections)**: 0.9263 eV per atom



First-principles (meta-GGA SCAN) data for a crystal of ReP2WO relaxed with PBEsol, as listed in Alexandria.

Cell lengths 4.7218, 4.7218, 3.5983 Å; angles 90.00, 90.00, 90.00 degrees
With the nearest neighbours (Å) after each atom.
Space group P4/mmm (No. 123)
Symmetry-distinct sites (fractional):
Re  0.0000  0.0000  0.0000 (multiplicity 1)  2 O 1.80
P  0.0000  0.5000  0.0000 (multiplicity 2)  2 Re 2.36
W  0.5000  0.5000  0.5000 (multiplicity 1)  8 P 2.97
O  0.0000  0.0000  0.5000 (multiplicity 1)  2 Re 1.80

Calculated values
**Formation energy (no corrections)**: 0.6351 eV per atom



First-principles (meta-GGA SCAN) data for a crystal of LiMgP2 relaxed with PBEsol, as listed in Alexandria.

Cell lengths 2.6620, 4.4911, 5.3722 Å; angles 90.00, 90.00, 90.00 degrees
With the nearest neighbours (Å) after each atom.
Space group Pmm2 (No. 25)
Symmetry-distinct sites (fractional):
Li  0.0000  0.0000  0.0000 (multiplicity 1)  6 P 2.62-2.69, 2 Li 2.66
Mg  0.5000  0.5000  0.4478 (multiplicity 1)  6 P 2.63-2.72, 2 Mg 2.66
P  0.0000  0.0000  0.5006 (multiplicity 1)  4 Mg 2.63, 2 P 2.66, 2 Li 2.68-2.69
P  0.5000  0.5000  0.9546 (multiplicity 1)  4 Li 2.62, 2 Mg 2.65-2.72, 2 P 2.66

Calculated values
**Energy of formation**: -0.16 eV per atom



First-principles (meta-GGA SCAN) data for a crystal of Cr2SbAu relaxed with PBEsol, as listed in Alexandria.

Cell lengths 6.4759, 6.4759, 6.4759 Å; angles 90.00, 90.00, 90.00 degrees
With the nearest neighbours (Å) after each atom.
Space group F-43m (No. 216)
Symmetry-distinct sites (fractional):
Cr  0.0000  0.0000  0.0000 (multiplicity 4)  4 Sb 2.80, 4 Cr 2.80
Cr  0.2500  0.2500  0.2500 (multiplicity 4)  4 Cr 2.80, 4 Au 2.80
Sb  0.2500  0.2500  0.7500 (multiplicity 4)  4 Au 2.80, 4 Cr 2.80
Au  0.0000  0.0000  0.5000 (multiplicity 4)  4 Cr 2.80, 4 Sb 2.80

Calculated values
**Formation energy (no corrections)**: 0.0671 eV per atom



First-principles (meta-GGA SCAN) data for a crystal of FeTeOsI2 relaxed with PBEsol, as listed in Alexandria.

Cell lengths 5.0260, 5.0260, 4.5291 Å; angles 90.00, 90.00, 90.00 degrees
With the nearest neighbours (Å) after each atom.
Space group P4/mmm (No. 123)
Symmetry-distinct sites (fractional):
Fe  0.0000  0.0000  0.0000 (multiplicity 1)  2 Os 2.26, 4 I 2.51
Te  0.5000  0.5000  0.5000 (multiplicity 1)  8 I 3.38, 4 Os 3.55
Os  0.0000  0.0000  0.5000 (multiplicity 1)  2 Fe 2.26
I  0.0000  0.5000  0.0000 (multiplicity 2)  2 Fe 2.51

Calculated values
**Formation energy (no corrections)**: 1.4876 eV per atom



First-principles (meta-GGA SCAN) data for a crystal of RbLi3Cu relaxed with PBEsol, as listed in Alexandria.

Cell lengths 5.1392, 5.1392, 5.1392 Å; angles 90.00, 90.00, 90.00 degrees
With the nearest neighbours (Å) after each atom.
Space group Pm-3m (No. 221)
Symmetry-distinct sites (fractional):
Rb  0.0000  0.0000  0.0000 (multiplicity 1)  12 Li 3.63
Li  0.0000  0.5000  0.5000 (multiplicity 3)  2 Cu 2.57
Cu  0.5000  0.5000  0.5000 (multiplicity 1)  6 Li 2.57

Calculated values
**Energy of formation**: 0.21 eV per atom



Number 1: magnetic moment 0.00 Bohr magnetons per cell. Number 2: magnetic moment 0.00 Bohr magnetons per cell. Number 3: magnetic moment 1.72 Bohr magnetons per cell. Number 4: magnetic moment 0.00 Bohr magnetons per cell. Number 5: magnetic moment 2.56 Bohr magnetons per cell. Number 6: magnetic moment 0.01 Bohr magnetons per cell. Number 7: magnetic moment 1.92 Bohr magnetons per cell. Number 8: magnetic moment 3.31 Bohr magnetons per cell. Number 9: magnetic moment 0.00 Bohr magnetons per cell. Number 10: magnetic moment 0.85 Bohr magnetons per cell. Number 11: magnetic moment 0.73 Bohr magnetons per cell. Number 12: magnetic moment 0.00 Bohr magnetons per cell.